1.
VASP calculation (GGA-PBE) on an optimized crystal structure of MnCr2Co.

Geometry as CIF:
```
data_MnCr2Co
_chemical_formula_sum 'Mn4 Cr8 Co4'
_space_group_name_H-M_alt 'P 1'
_space_group_IT_number 1
_cell_length_a 5.707
_cell_length_b 5.707
_cell_length_c 5.707
_cell_angle_alpha 90.00
_cell_angle_beta 90.00
_cell_angle_gamma 90.00
loop_
_space_group_symop_operation_xyz
'x,y,z'
loop_
_atom_site_label
_atom_site_type_symbol
_atom_site_fract_x
_atom_site_fract_y
_atom_site_fract_z
Mn1 Mn 0.000 0.000 0.000
Mn2 Mn 0.000 0.500 0.500
Mn3 Mn 0.500 0.000 0.500
Mn4 Mn 0.500 0.500 0.000
Cr1 Cr 0.000 0.000 0.500
Cr2 Cr 0.000 0.500 0.000
Cr3 Cr 0.250 0.250 0.250
Cr4 Cr 0.250 0.750 0.750
Cr5 Cr 0.500 0.000 0.000
Cr6 Cr 0.500 0.500 0.500
Cr7 Cr 0.750 0.250 0.750
Cr8 Cr 0.750 0.750 0.250
Co1 Co 0.250 0.250 0.750
Co2 Co 0.250 0.750 0.250
Co3 Co 0.750 0.250 0.250
Co4 Co 0.750 0.750 0.750
```

Values from the calculation:
crystal system	cubic
total energy	-8.83	eV per atom
SG	No. 216

---

2.
VASP calculation (GGA-PBE) on an optimized crystal structure of Mn2CrCo4.

Geometry as CIF:
```
data_Mn2CrCo4
_chemical_formula_sum 'Mn4 Cr2 Co8'
_space_group_name_H-M_alt 'P 1'
_space_group_IT_number 1
_cell_length_a 5.907
_cell_length_b 7.644
_cell_length_c 3.734
_cell_angle_alpha 90.00
_cell_angle_beta 90.00
_cell_angle_gamma 90.00
loop_
_space_group_symop_operation_xyz
'x,y,z'
loop_
_atom_site_label
_atom_site_type_symbol
_atom_site_fract_x
_atom_site_fract_y
_atom_site_fract_z
Mn1 Mn 0.000 0.219 0.000
Mn2 Mn 0.000 0.781 0.000
Mn3 Mn 0.500 0.281 0.000
Mn4 Mn 0.500 0.719 0.000
Cr1 Cr 0.000 0.000 0.500
Cr2 Cr 0.500 0.500 0.500
Co1 Co 0.202 0.500 0.000
Co2 Co 0.250 0.250 0.500
Co3 Co 0.250 0.750 0.500
Co4 Co 0.298 0.000 0.000
Co5 Co 0.702 0.000 0.000
Co6 Co 0.750 0.250 0.500
Co7 Co 0.750 0.750 0.500
Co8 Co 0.798 0.500 0.000
```

Values from the calculation:
crystal system	orthorhombic
total energy	-7.75	eV per atom
SG	No. 65

---

The lowest total energy belongs to which entry? MnCr2Co

---

What is the total energy in the first record? -8.83 eV per atom